Here is crystalline SmMoO4F at its relaxed geometry from Alexandria via LeMat-Bulk. Energies are from PBE with a Hubbard U.

Calculated values
**Space-group type**: C2/m
**V**: 17.70 Å³ per atom
**Distance to the lowest polymorph of the same formula**: 0.004 eV per atom

a = 6.163 Å, b = 6.163 Å, c = 7.091 Å
α = 75.90°, β = 75.90°, γ = 75.20°
Fractional positions:
Sm  0.204  0.204  0.894
Sm  0.796  0.796  0.106
Mo  0.652  0.652  0.721
Mo  0.348  0.348  0.279
O  0.263  0.263  0.539
O  0.737  0.737  0.461
O  0.107  0.479  0.157
O  0.538  0.538  0.226
O  0.521  0.893  0.843
O  0.479  0.107  0.157
O  0.462  0.462  0.774
O  0.893  0.521  0.843
F  0.012  0.012  0.174
F  0.988  0.988  0.826